No. 1
## Ca2NbW4 (PBE)

Data for crystalline Ca2NbW4 at its relaxed geometry.

Geometry as CIF:
```
data_Ca2NbW4
_chemical_formula_sum 'Ca4 Nb2 W8'
_space_group_name_H-M_alt 'I 4/m m m'
_space_group_IT_number 139
_space_group_name_Hall '-I 4 2'
_cell_length_a 4.8587
_cell_length_b 4.8587
_cell_length_c 15.4339
_cell_angle_alpha 90.00
_cell_angle_beta 90.00
_cell_angle_gamma 90.00
loop_
_atom_site_label
_atom_site_fract_x
_atom_site_fract_y
_atom_site_fract_z
Ca1 0.0000 0.0000 0.1395
Nb1 0.0000 0.0000 0.5000
W1 0.0000 0.0000 0.3436
W2 0.0000 0.5000 0.0000
```

Output
**D(E_F)**: 1.092 states/eV per atom
**ΔE_f**: 2.0509 eV per atom

=====

No. 2
## BaNaNb (PBE)

Data for crystalline BaNaNb at its relaxed geometry.

Geometry as CIF:
```
data_BaNaNb
_chemical_formula_sum 'Ba2 Na2 Nb2'
_space_group_name_H-M_alt 'P 1'
_space_group_IT_number 1
_cell_length_a 4.6415
_cell_length_b 7.0993
_cell_length_c 7.2712
_cell_angle_alpha 90.31
_cell_angle_beta 91.99
_cell_angle_gamma 107.87
loop_
_space_group_symop_operation_xyz
'x,y,z'
loop_
_atom_site_label
_atom_site_fract_x
_atom_site_fract_y
_atom_site_fract_z
Ba1 0.0000 0.0000 0.0000
Ba2 0.4296 0.7976 0.5065
Na1 0.1772 0.2631 0.5508
Na2 0.7356 0.4212 0.2459
Nb1 0.2743 0.5532 0.9286
Nb2 0.8091 0.5041 0.8035
```

Output
**Offset from the most stable computed form**: 295 meV per atom
**D(E_F)**: 0.939 states/eV per atom
**ΔE_f**: 0.6308 eV per atom

=====

No. 3
## MnV4Cr2 (PBE)

Data for crystalline MnV4Cr2 at its relaxed geometry.

Geometry as CIF:
```
data_MnV4Cr2
_chemical_formula_sum 'Mn2 V8 Cr4'
_space_group_name_H-M_alt 'I 4/m m m'
_space_group_IT_number 139
_space_group_name_Hall '-I 4 2'
_cell_length_a 5.7132
_cell_length_b 5.7132
_cell_length_c 5.7495
_cell_angle_alpha 90.00
_cell_angle_beta 90.00
_cell_angle_gamma 90.00
loop_
_atom_site_label
_atom_site_fract_x
_atom_site_fract_y
_atom_site_fract_z
Mn1 0.0000 0.0000 0.0000
V1 0.2500 0.2500 0.2500
Cr1 0.0000 0.5000 0.0000
```

Output
**Offset from the most stable computed form**: 0 meV per atom
**D(E_F)**: 1.139 states/eV per atom
**ΔE_f**: 0.1837 eV per atom

=====

No. 4
## K4Y3PtO8 (PBE)

Data for crystalline K4Y3PtO8 at its relaxed geometry.

Geometry as CIF:
```
data_K4Y3PtO8
_chemical_formula_sum 'K8 Y6 Pt2 O16'
_space_group_name_H-M_alt 'C 1 2/m 1'
_space_group_IT_number 12
_cell_length_a 12.1166
_cell_length_b 6.7692
_cell_length_c 7.3396
_cell_angle_alpha 90.00
_cell_angle_beta 121.51
_cell_angle_gamma 90.00
loop_
_space_group_symop_operation_xyz
'x,y,z'
'-x,-y,-z'
'-x,y,-z'
'x,-y,z'
'x+1/2,y+1/2,z'
'-x+1/2,-y+1/2,-z'
'-x+1/2,y+1/2,-z'
'x+1/2,-y+1/2,z'
loop_
_atom_site_label
_atom_site_fract_x
_atom_site_fract_y
_atom_site_fract_z
K1 0.0000 0.0000 0.0000
K2 0.0000 0.5000 0.0000
K3 0.2500 0.2500 0.0000
Y1 0.0000 0.0000 0.5000
Y2 0.2500 0.2500 0.5000
Pt1 0.0000 0.5000 0.5000
O1 0.0220 0.2669 0.3222
O2 0.2236 0.0000 0.6856
O3 0.2423 0.0000 0.2861
```

Output
**Uncorrected formation energy**: -2.210 eV per atom

=====

No. 5
## LiRhW2 (PBE)

Data for crystalline LiRhW2 at its relaxed geometry.

Geometry as CIF:
```
data_LiRhW2
_chemical_formula_sum 'Li1 Rh1 W2'
_space_group_name_H-M_alt 'P m m 2'
_space_group_IT_number 25
_cell_length_a 2.7191
_cell_length_b 3.8774
_cell_length_c 5.5755
_cell_angle_alpha 90.00
_cell_angle_beta 90.00
_cell_angle_gamma 90.00
loop_
_space_group_symop_operation_xyz
'x,y,z'
'-x,-y,z'
'-x,y,z'
'x,-y,z'
loop_
_atom_site_label
_atom_site_fract_x
_atom_site_fract_y
_atom_site_fract_z
Li1 0.0000 0.0000 0.0000
Rh1 0.5000 0.5000 0.2136
W1 0.0000 0.0000 0.4806
W2 0.5000 0.5000 0.7524
```

Output
**Offset from the most stable computed form**: 74 meV per atom
**D(E_F)**: 0.837 states/eV per atom
**ΔE_f**: 0.1987 eV per atom

=====

No. 6
## Pr3UN4 (PBE)

Data for crystalline Pr3UN4 at its relaxed geometry.

Geometry as CIF:
```
data_Pr3UN4
_chemical_formula_sum 'Pr6 U2 N8'
_space_group_name_H-M_alt 'P m n 21'
_space_group_IT_number 31
_cell_length_a 8.4318
_cell_length_b 7.0542
_cell_length_c 5.2835
_cell_angle_alpha 90.00
_cell_angle_beta 90.00
_cell_angle_gamma 90.00
loop_
_space_group_symop_operation_xyz
'x,y,z'
'-x+1/2,-y,z+1/2'
'-x,y,z'
'x+1/2,-y,z+1/2'
loop_
_atom_site_label
_atom_site_fract_x
_atom_site_fract_y
_atom_site_fract_z
Pr1 0.0000 0.1621 0.0000
Pr2 0.2446 0.3306 0.4998
U1 0.0000 0.8189 0.4885
N1 0.0000 0.1305 0.4975
N2 0.0000 0.8236 0.0667
N3 0.2333 0.6846 0.4980
```

Output
**Offset from the most stable computed form**: 153 meV per atom
**D(E_F)**: 0.613 states/eV per atom
**Uncorrected formation energy**: -1.225 eV per atom

=====

No. 7
## Sr2ScPb (PBE)

Data for crystalline Sr2ScPb at its relaxed geometry.

Geometry as CIF:
```
data_Sr2ScPb
_chemical_formula_sum 'Sr4 Sc2 Pb2'
_space_group_name_H-M_alt 'C m m m'
_space_group_IT_number 65
_space_group_name_Hall '-C 2 2'
_cell_length_a 7.2897
_cell_length_b 9.8167
_cell_length_c 3.9179
_cell_angle_alpha 90.00
_cell_angle_beta 90.00
_cell_angle_gamma 90.00
loop_
_atom_site_label
_atom_site_fract_x
_atom_site_fract_y
_atom_site_fract_z
Sr1 0.2500 0.2500 0.0000
Sc1 0.0000 0.0000 0.5000
Pb1 0.0000 0.5000 0.5000
```

Output
**D(E_F)**: 1.314 states/eV per atom
**ΔE_f**: -0.0197 eV per atom

=====

No. 8
## InTePb2 (PBE)

Data for crystalline InTePb2 at its relaxed geometry.

Geometry as CIF:
```
data_InTePb2
_chemical_formula_sum 'In1 Te1 Pb2'
_space_group_name_H-M_alt 'P m m m'
_space_group_IT_number 47
_cell_length_a 4.1985
_cell_length_b 5.2389
_cell_length_c 5.5940
_cell_angle_alpha 90.00
_cell_angle_beta 90.00
_cell_angle_gamma 90.00
loop_
_space_group_symop_operation_xyz
'x,y,z'
'-x,-y,-z'
'-x,-y,z'
'x,y,-z'
'x,-y,-z'
'-x,y,z'
'-x,y,-z'
'x,-y,z'
loop_
_atom_site_label
_atom_site_fract_x
_atom_site_fract_y
_atom_site_fract_z
In1 0.0000 0.0000 0.0000
Te1 0.5000 0.0000 0.5000
Pb1 0.0000 0.5000 0.5000
Pb2 0.5000 0.5000 0.0000
```

Output
**Offset from the most stable computed form**: 25 meV per atom
**D(E_F)**: 0.509 states/eV per atom
**Uncorrected formation energy**: -0.051 eV per atom

=====

No. 9
## CaMoRu2 (PBE)

Data for crystalline CaMoRu2 at its relaxed geometry.

Geometry as CIF:
```
data_CaMoRu2
_chemical_formula_sum 'Ca3 Mo3 Ru6'
_space_group_name_H-M_alt 'R 3 m'
_space_group_IT_number 160
_space_group_name_Hall 'R 3 -2"'
_cell_length_a 2.8593
_cell_length_b 2.8593
_cell_length_c 28.6252
_cell_angle_alpha 90.00
_cell_angle_beta 90.00
_cell_angle_gamma 120.00
loop_
_atom_site_label
_atom_site_fract_x
_atom_site_fract_y
_atom_site_fract_z
Ca1 0.0000 0.0000 0.0000
Mo1 0.0000 0.0000 0.7636
Ru1 0.0000 0.0000 0.2456
Ru2 0.0000 0.0000 0.5054
```

Output
**Offset from the most stable computed form**: 444 meV per atom
**D(E_F)**: 1.236 states/eV per atom
**ΔE_f**: 0.5917 eV per atom

=====

No. 10
## Y2TaMn (PBE)

Data for crystalline Y2TaMn at its relaxed geometry.

Geometry as CIF:
```
data_Y2TaMn
_chemical_formula_sum 'Y4 Ta2 Mn2'
_space_group_name_H-M_alt 'I -4 m 2'
_space_group_IT_number 119
_space_group_name_Hall 'I -4 -2'
_cell_length_a 5.0399
_cell_length_b 5.0399
_cell_length_c 7.0914
_cell_angle_alpha 90.00
_cell_angle_beta 90.00
_cell_angle_gamma 90.00
loop_
_atom_site_label
_atom_site_fract_x
_atom_site_fract_y
_atom_site_fract_z
Y1 0.0000 0.0000 0.0000
Y2 0.0000 0.5000 0.2500
Ta1 0.0000 0.5000 0.7500
Mn1 0.0000 0.0000 0.5000
```

Output
**Offset from the most stable computed form**: 386 meV per atom
**D(E_F)**: 1.709 states/eV per atom
**ΔE_f**: 0.5434 eV per atom

=====

No. 11
## TmPuTeAs (PBE)

Data for crystalline TmPuTeAs at its relaxed geometry.

Geometry as CIF:
```
data_TmPuTeAs
_chemical_formula_sum 'Tm3 Pu3 Te3 As3'
_space_group_name_H-M_alt 'R 3 m'
_space_group_IT_number 160
_space_group_name_Hall 'R 3 -2"'
_cell_length_a 4.2138
_cell_length_b 4.2138
_cell_length_c 21.1185
_cell_angle_alpha 90.00
_cell_angle_beta 90.00
_cell_angle_gamma 120.00
loop_
_atom_site_label
_atom_site_fract_x
_atom_site_fract_y
_atom_site_fract_z
Tm1 0.0000 0.0000 0.0000
Pu1 0.0000 0.0000 0.4821
Te1 0.0000 0.0000 0.2433
As1 0.0000 0.0000 0.7380
```

Output
**D(E_F)**: 2.732 states/eV per atom
**Uncorrected formation energy**: -1.267 eV per atom

=====

No. 12
## WSeIBr2 (PBE)

Data for crystalline WSeIBr2 at its relaxed geometry.

Geometry as CIF:
```
data_WSeIBr2
_chemical_formula_sum 'W1 Se1 I1 Br2'
_space_group_name_H-M_alt 'P 4/m m m'
_space_group_IT_number 123
_space_group_name_Hall '-P 4 2'
_cell_length_a 5.6603
_cell_length_b 5.6603
_cell_length_c 5.5119
_cell_angle_alpha 90.00
_cell_angle_beta 90.00
_cell_angle_gamma 90.00
loop_
_atom_site_label
_atom_site_fract_x
_atom_site_fract_y
_atom_site_fract_z
W1 0.0000 0.0000 0.0000
Se1 0.5000 0.5000 0.0000
I1 0.5000 0.5000 0.5000
Br1 0.0000 0.5000 0.5000
```

Output
**Offset from the most stable computed form**: 1345 meV per atom
**D(E_F)**: 1.547 states/eV per atom
**Uncorrected formation energy**: 1.609 eV per atom

=====

Ρ (g cm⁻³)
8.28; 3.69; 6.42; 4.83; 13.49; 7.57; 5.06; 8.86; 8.31; 7.63; 9.44; 5.17